The following is a DFT calculation (GGA-PBE) of AgGeF6 after structural relaxation.

Output
Its symmetry is No. 2. As for the volume: 92 Å³ per cell. The value obtained for the total energy is -0.1532 hartree per atom. As for the energy relative to the lowest polymorph listed for this composition: 0.00 eV per formula unit. Its crystal system is triclinic.

a b c (Å): 4.767 4.873 5.197
angles (deg): 64.86 89.67 60.90
Sites, in units of the cell vectors:
F (0.774, 0.188, 0.230)
F (0.014, 0.596, 0.214)
F (0.401, 0.807, 0.240)
F (0.986, 0.404, 0.786)
F (0.226, 0.812, 0.770)
F (0.599, 0.193, 0.760)
Ag (0.500, 0.000, 0.500)
Ge (0.000, 0.000, 0.000)

=====

The following is a DFT calculation (GGA-PBE) of AgGeF6 after structural relaxation.

Output
Its symmetry is No. 216. As for the volume: 96 Å³ per cell. The value obtained for the total energy is -0.1480 hartree per atom. As for the energy relative to the lowest polymorph listed for this composition: 1.13 eV per formula unit. Its crystal system is cubic.

a b c (Å): 5.138 5.138 5.138
angles (deg): 60.00 60.00 60.00
Sites, in units of the cell vectors:
F (0.498, 0.498, 0.002)
F (0.498, 0.002, 0.002)
F (0.498, 0.002, 0.498)
F (0.002, 0.498, 0.002)
F (0.002, 0.002, 0.498)
F (0.002, 0.498, 0.498)
Ag (0.500, 0.500, 0.500)
Ge (0.250, 0.250, 0.250)

=====

The following is a DFT calculation (GGA-PBE) of AgGe3F after structural relaxation.

Output
Its symmetry is No. 221. As for the volume: 94 Å³ per cell. The value obtained for the total energy is -0.1346 hartree per atom. Its crystal system is cubic.

a b c (Å): 4.540 4.540 4.540
angles (deg): 90.00 90.00 90.00
Sites, in units of the cell vectors:
Ge (0.500, 0.500, 0.000)
Ge (0.500, 0.000, 0.500)
Ge (0.000, 0.500, 0.500)
Ag (0.000, 0.000, 0.000)
F (0.500, 0.500, 0.500)

=====

The following is a DFT calculation (GGA-PBE) of Tl2AgGeF6 after structural relaxation.

Output
Its symmetry is No. 225. As for the volume: 156 Å³ per cell. The value obtained for the total energy is -0.1502 hartree per atom. Its crystal system is cubic.

a b c (Å): 6.044 6.044 6.044
angles (deg): 60.00 60.00 60.00
Sites, in units of the cell vectors:
F (0.732, 0.732, 0.268)
F (0.732, 0.268, 0.268)
F (0.732, 0.268, 0.732)
F (0.268, 0.732, 0.268)
F (0.268, 0.732, 0.732)
F (0.268, 0.268, 0.732)
Ag (0.000, 0.000, 0.000)
Ge (0.500, 0.500, 0.500)
Tl (0.250, 0.250, 0.250)
Tl (0.750, 0.750, 0.750)

=====

The following is a DFT calculation (GGA-PBE) of HfAg2F6 after structural relaxation.

Output
Its symmetry is No. 14. As for the volume: 255 Å³ per cell. The total magnetic moment comes out at 0.003 μB per formula unit. The value obtained for the total energy is -0.2013 hartree per atom. Its crystal system is monoclinic.

a b c (Å): 5.413 5.909 9.068
angles (deg): 90.00 118.58 90.00
Sites, in units of the cell vectors:
F (0.225, 0.785, 0.051)
F (0.225, 0.715, 0.551)
F (0.123, 0.463, 0.245)
F (0.660, 0.823, 0.468)
F (0.775, 0.215, 0.949)
F (0.660, 0.677, 0.968)
F (0.340, 0.177, 0.532)
F (0.123, 0.037, 0.745)
F (0.877, 0.963, 0.255)
F (0.340, 0.323, 0.032)
F (0.775, 0.285, 0.449)
F (0.877, 0.537, 0.755)
Ag (0.692, 0.572, 0.255)
Ag (0.308, 0.428, 0.745)
Ag (0.692, 0.928, 0.755)
Ag (0.308, 0.072, 0.245)
Hf (0.000, 0.500, 0.000)
Hf (0.000, 0.000, 0.500)

=====

The following is a DFT calculation (GGA-PBE) of AgHgF6 after structural relaxation.

Output
Its symmetry is No. 2. As for the volume: 105 Å³ per cell. The value obtained for the total energy is -0.1021 hartree per atom. Its crystal system is triclinic.

a b c (Å): 4.870 4.988 5.560
angles (deg): 66.28 64.76 62.40
Sites, in units of the cell vectors:
F (0.525, 0.276, 0.267)
F (0.738, 0.069, 0.747)
F (0.475, 0.724, 0.733)
F (0.078, 0.461, 0.742)
F (0.922, 0.539, 0.258)
F (0.262, 0.931, 0.253)
Ag (0.500, 0.500, 0.500)
Hg (0.000, 0.000, 0.000)

=====

The following is a DFT calculation (GGA-PBE) of AgHgOF after structural relaxation.

Output
Its symmetry is No. 4. As for the volume: 241 Å³ per cell. The value obtained for the total energy is -0.1136 hartree per atom. Its crystal system is monoclinic.

a b c (Å): 5.995 6.190 6.494
angles (deg): 90.05 90.00 90.00
Sites, in units of the cell vectors:
Ag (0.747, 0.141, 0.449)
Ag (0.248, 0.859, 0.051)
Ag (0.752, 0.641, 0.550)
Ag (0.253, 0.359, 0.950)
Hg (0.781, 0.570, 0.039)
Hg (0.219, 0.930, 0.539)
Hg (0.719, 0.070, 0.961)
Hg (0.281, 0.430, 0.461)
F (0.455, 0.676, 0.770)
F (0.545, 0.824, 0.270)
F (0.045, 0.176, 0.230)
F (0.955, 0.324, 0.730)
O (0.070, 0.680, 0.363)
O (0.570, 0.319, 0.137)
O (0.430, 0.181, 0.637)
O (0.930, 0.820, 0.862)

=====

The following is a DFT calculation (GGA-PBE) of AgIF6 after structural relaxation.

Output
Its symmetry is No. 2. As for the volume: 114 Å³ per cell. The value obtained for the total energy is -0.1224 hartree per atom. Its crystal system is triclinic.

a b c (Å): 5.118 5.121 5.804
angles (deg): 63.97 63.86 60.11
Sites, in units of the cell vectors:
I (0.000, 0.000, 0.000)
F (0.026, 0.787, 0.768)
F (0.582, 0.974, 0.232)
F (0.418, 0.026, 0.768)
F (0.213, 0.583, 0.231)
F (0.974, 0.213, 0.232)
F (0.787, 0.417, 0.769)
Ag (0.500, 0.500, 0.500)